(1)
Compound: NaSr3Y
Source: the Alexandria database
Functional: PBE
Structure: relaxed

Computed properties:
ΔH_f (0 K)	0.55	eV/atom
space-group type	No. 221
ΔE to the lowest computed polymorph	0	meV per atom

Cell: 6.310 6.310 6.310 Å, 90.00 90.00 90.00°
Site moments in Bohr magnetons follow the coordinates.
Positions (direct):
Y1 0.500 0.500 0.500  0.36
Sr1 0.000 0.500 0.000  0.04
Sr2 0.000 0.000 0.500  0.05
Sr3 0.500 0.000 0.000  0.04
Na1 0.000 0.000 0.000  0.00



(2)
Compound: CdInAg6
Source: the Alexandria database
Functional: PBE
Structure: relaxed

Computed properties:
ΔH_f (0 K)	-0.03	eV/atom
space-group type	No. 38

Cell: 4.888 5.948 5.948 Å, 120.21 90.00 90.00°
Positions (direct):
Cd1 0.500 0.417 0.583
In1 0.000 0.083 0.917
Ag1 0.000 0.081 0.416
Ag2 0.000 0.584 0.919
Ag3 0.000 0.584 0.416
Ag4 0.500 0.421 0.085
Ag5 0.500 0.915 0.579
Ag6 0.500 0.915 0.085



no.,energy (eV/cell)
1,-10.056
2,-20.979